Entry 1:
Below is crystalline LiIn2Ag4 at its relaxed geometry, with properties calculated at the GGA-PBE level.

CIF file:
```
data_LiIn2Ag4
_space_group_name_H-M_alt 'F m m m'
_space_group_IT_number 69
_space_group_name_Hall '-F 2 2'
_cell_length_a 5.934
_cell_length_b 9.854
_cell_length_c 9.901
_cell_angle_alpha 90.00
_cell_angle_beta 90.00
_cell_angle_gamma 90.00
loop_
_atom_site_label
_atom_site_type_symbol
_atom_site_fract_x
_atom_site_fract_y
_atom_site_fract_z
Li1 Li 0.000 0.000 0.000
In1 In 0.250 0.250 0.250
Ag1 Ag 0.000 0.000 0.294
Ag2 Ag 0.000 0.205 0.500
```

Results
Offset from the most stable computed form, meV/atom: 76



Entry 2:
Below is crystalline LiIn3Ag12 at its relaxed geometry, with properties calculated at the GGA-PBE level.

CIF file:
```
data_LiIn3Ag12
_space_group_name_H-M_alt 'P 4/m m m'
_space_group_IT_number 123
_space_group_name_Hall '-P 4 2'
_cell_length_a 4.200
_cell_length_b 4.200
_cell_length_c 16.773
_cell_angle_alpha 90.00
_cell_angle_beta 90.00
_cell_angle_gamma 90.00
loop_
_atom_site_label
_atom_site_type_symbol
_atom_site_fract_x
_atom_site_fract_y
_atom_site_fract_z
Li1 Li 0.000 0.000 0.000
In1 In 0.000 0.000 0.244
In2 In 0.000 0.000 0.500
Ag1 Ag 0.000 0.500 0.117
Ag2 Ag 0.000 0.500 0.372
Ag3 Ag 0.500 0.500 0.000
Ag4 Ag 0.500 0.500 0.246
Ag5 Ag 0.500 0.500 0.500
```



Number 1: total energy -2.708 eV/atom, total magnetization 0.00 μB per cell. Number 2: total energy -2.816 eV/atom, total magnetization 0.00 μB per cell.